(1)
This record from Alexandria via LeMat-Bulk describes crystalline LaPrHoAl at its relaxed geometry. The functional is PBE.

Properties
total energy = -73.18 eV for the cell shown
E_form = -0.07 eV per atom

a b c (Å): 7.791 7.791 7.791
angles (deg): 90.00 90.00 90.00
Space group F-43m (No. 216)
Symmetry-distinct sites (fractional):
La1 0.000 0.000 0.000
Pr1 0.000 0.000 0.500
Ho1 0.250 0.250 0.750
Al1 0.250 0.250 0.250

(2)
This record from Alexandria via LeMat-Bulk describes crystalline KMgFeBi2 at its relaxed geometry. The functional is PBE.

Properties
total energy = -16.60 eV for the cell shown
E_form = 0.46 eV per atom

a b c (Å): 5.087 5.087 5.940
angles (deg): 90.00 90.00 90.00
Space group P4/mmm (No. 123)
Symmetry-distinct sites (fractional):
K1 0.000 0.000 0.000
Mg1 0.500 0.500 0.000
Fe1 0.000 0.000 0.500
Bi1 0.000 0.500 0.500

(3)
This record from Alexandria via LeMat-Bulk describes crystalline Mg4AlGa at its relaxed geometry. The functional is PBE.

Properties
distance to the lowest polymorph of the same formula = 0.34 eV/f.u.
total energy = -12.98 eV for the cell shown
E_form = 0.03 eV per atom

a b c (Å): 4.639 4.639 6.600
angles (deg): 90.00 90.00 90.00
Space group P4/mmm (No. 123)
Symmetry-distinct sites (fractional):
Mg1 0.000 0.500 0.245
Al1 0.000 0.000 0.500
Ga1 0.500 0.500 0.000

Question: Which formula does entry 2 have?
Answer: KMgFeBi2

Question: Look up the E_form of the third one.
Answer: 0.03 eV per atom